(1)
A geometry-optimized Np2CuSe5 structure, computed with PBE-GGA.

It has space group Cmcm (No. 63), with a = 5.563 Å, b = 13.405 Å, c = 12.767 Å, α = 90.00°, β = 90.00° and γ = 90.00°. The asymmetric unit holds Np at (0.000, 0.143, 0.061), Cu at (0.000, 0.299, 0.750), Se at (0.000, 0.049, 0.625), Se at (0.000, 0.244, 0.250) and Se at (0.000, 0.329, 0.562).

The formation energy without anion corrections comes out at -0.681 eV/atom. As for the crystal system: orthorhombic.

(2)
A geometry-optimized NbTc structure, computed with PBE-GGA.

It has space group Pm-3n (No. 223), with a = 7.069 Å, b = 7.069 Å, c = 7.069 Å, α = 90.00°, β = 90.00° and γ = 90.00°. The asymmetric unit holds Nb at (0.000, 0.250, 0.500) and Tc at (0.000, 0.500, 0.250).

The formation energy comes out at 1917.7 meV/atom. As for the crystal system: cubic.

(3)
A geometry-optimized TaSiRu2 structure, computed with PBE-GGA.

It has space group I-4m2 (No. 119), with a = 3.702 Å, b = 3.702 Å, c = 8.473 Å, α = 90.00°, β = 90.00° and γ = 90.00°. The asymmetric unit holds Ta at (0.000, 0.000, 0.000), Si at (0.000, 0.500, 0.250), Ru at (0.000, 0.000, 0.500) and Ru at (0.000, 0.500, 0.750).

The formation energy without anion corrections comes out at -0.375 eV/atom. As for the crystal system: tetragonal.

(4)
A geometry-optimized Pr6AlPd2 structure, computed with PBE-GGA.

It has space group Immm (No. 71), with a = 9.738 Å, b = 10.179 Å, c = 10.732 Å, α = 90.00°, β = 90.00° and γ = 90.00°. The asymmetric unit holds Pr at (0.000, 0.192, 0.241), Pr at (0.201, 0.500, 0.172), Pr at (0.216, 0.320, 0.500), Al at (0.000, 0.000, 0.000), Al at (0.000, 0.000, 0.500), Pd at (0.000, 0.346, 0.000) and Pd at (0.000, 0.500, 0.370).

The formation energy comes out at -406.6 meV/atom. As for the crystal system: orthorhombic.

(5)
A geometry-optimized SrLiSb2Rh structure, computed with PBE-GGA.

It has space group Cmme (No. 67), with a = 6.101 Å, b = 12.669 Å, c = 6.537 Å, α = 90.00°, β = 90.00° and γ = 90.00°. The asymmetric unit holds Sr at (0.000, 0.250, 0.235), Li at (0.000, 0.000, 0.000), Sb at (0.000, 0.133, 0.708) and Rh at (0.250, 0.000, 0.500).

The formation energy without anion corrections comes out at -0.499 eV/atom. As for the offset from the most stable computed form: 0 meV/atom. As for the crystal system: orthorhombic.

(6)
A geometry-optimized YSn2Rh structure, computed with PBE-GGA.

It has space group I-42d (No. 122), with a = 4.342 Å, b = 4.342 Å, c = 20.512 Å, α = 90.00°, β = 90.00° and γ = 90.00°. The asymmetric unit holds Y at (0.000, 0.000, 0.000), Sn at (0.217, 0.250, 0.625) and Rh at (0.000, 0.000, 0.500).

The formation energy comes out at -277.8 meV/atom. As for the crystal system: tetragonal.

(7)
A geometry-optimized Li2BPbO4 structure, computed with PBE-GGA.

It has space group I-4 (No. 82), with a = 4.602 Å, b = 4.602 Å, c = 8.455 Å, α = 90.00°, β = 90.00° and γ = 90.00°. The asymmetric unit holds Li at (0.000, 0.000, 0.000), Li at (0.000, 0.500, 0.250), B at (0.000, 0.500, 0.750), Pb at (0.000, 0.000, 0.500) and O at (0.164, 0.279, 0.847).

The formation energy without anion corrections comes out at -1.726 eV/atom. As for the crystal system: tetragonal.

(8)
A geometry-optimized SmGdZnRh structure, computed with PBE-GGA.

It has space group F-43m (No. 216), with a = 7.094 Å, b = 7.094 Å, c = 7.094 Å, α = 90.00°, β = 90.00° and γ = 90.00°. The asymmetric unit holds Sm at (0.000, 0.000, 0.000), Gd at (0.000, 0.000, 0.500), Zn at (0.250, 0.250, 0.250) and Rh at (0.250, 0.250, 0.750).

The formation energy comes out at -541.2 meV/atom. As for the crystal system: cubic.